# PaZnWO6 | the Alexandria database | PBE+U | relaxed
# raw total energy	-7.581	eV/atom
# total magnetic moment	0.11	μB/atom
# SG	P-31c
data_PaZnWO6
_chemical_formula_sum 'Pa2 Zn2 W2 O12'
_cell_length_a 5.5191
_cell_length_b 5.5191
_cell_length_c 8.9602
_cell_angle_alpha 90.00
_cell_angle_beta 90.00
_cell_angle_gamma 120.00
_symmetry_space_group_name_H-M 'P 1'
_symmetry_Int_Tables_number 1
loop_
_symmetry_equiv_pos_as_xyz
'x,y,z'
loop_
_atom_site_label
_atom_site_type_symbol
_atom_site_fract_x
_atom_site_fract_y
_atom_site_fract_z
O1 O 0.6426 0.6680 0.6306
O2 O 0.3320 0.3575 0.8694
O3 O 0.3320 0.9746 0.6306
O4 O 0.3574 0.3320 0.3694
O5 O 0.6680 0.6425 0.1306
O6 O 0.3574 0.0254 0.1306
O7 O 0.9746 0.3320 0.1306
O8 O 0.0254 0.6680 0.8694
O9 O 0.6426 0.9746 0.8694
O10 O 0.9746 0.6425 0.3694
O11 O 0.6680 0.0254 0.3694
O12 O 0.0254 0.3575 0.6306
Pa1 Pa 0.3333 0.6667 0.2500
Pa2 Pa 0.6667 0.3333 0.7500
Zn1 Zn 0.0000 0.0000 0.0000
Zn2 Zn 0.0000 0.0000 0.5000
W1 W 0.3333 0.6667 0.7500
W2 W 0.6667 0.3333 0.2500